Record 1
Cd2InAs2: relaxed, PBE.

Cell and atoms, written as CIF:
```
data_Cd2InAs2
_cell_length_a 4.533
_cell_length_b 4.533
_cell_length_c 12.281
_cell_angle_alpha 90.00
_cell_angle_beta 90.00
_cell_angle_gamma 90.00
_symmetry_space_group_name_H-M 'I 4/m m m'
_symmetry_Int_Tables_number 139
_symmetry_space_group_name_Hall '-I 4 2'
loop_
_atom_site_label
_atom_site_type_symbol
_atom_site_fract_x
_atom_site_fract_y
_atom_site_fract_z
_atom_site_occupancy
Cd1 Cd 0.000 0.500 0.250 1
In1 In 0.000 0.000 0.000 1
As1 As 0.000 0.000 0.387 1
```

Calculated values
Size of the total moment   0.0 μB/cell
Calculated formation energy   47 meV per atom

Record 2
Ge2OsAu: relaxed, PBE.

Cell and atoms, written as CIF:
```
data_Ge2OsAu
_cell_length_a 4.1104
_cell_length_b 4.1104
_cell_length_c 14.7125
_cell_angle_alpha 90.00
_cell_angle_beta 90.00
_cell_angle_gamma 120.00
_symmetry_space_group_name_H-M 'R 3 m'
_symmetry_Int_Tables_number 160
_symmetry_space_group_name_Hall 'R 3 -2"'
loop_
_atom_site_label
_atom_site_type_symbol
_atom_site_fract_x
_atom_site_fract_y
_atom_site_fract_z
_atom_site_occupancy
Ge1 Ge 0.0000 0.0000 0.0000 1
Ge2 Ge 0.0000 0.0000 0.2065 1
Os1 Os 0.0000 0.0000 0.5865 1
Au1 Au 0.0000 0.0000 0.7777 1
```

Calculated values
Size of the total moment   0.0 μB/cell
Energy above the most stable polymorph in this dataset   216 meV per atom
Calculated formation energy   268 meV per atom

Record 3
CdHg5Pb2: relaxed, PBE.

Cell and atoms, written as CIF:
```
data_CdHg5Pb2
_cell_length_a 6.890
_cell_length_b 6.890
_cell_length_c 5.230
_cell_angle_alpha 90.00
_cell_angle_beta 90.00
_cell_angle_gamma 90.00
_symmetry_space_group_name_H-M 'P 4/m m m'
_symmetry_Int_Tables_number 123
_symmetry_space_group_name_Hall '-P 4 2'
loop_
_atom_site_label
_atom_site_type_symbol
_atom_site_fract_x
_atom_site_fract_y
_atom_site_fract_z
_atom_site_occupancy
Cd1 Cd 0.000 0.000 0.000 1
Hg1 Hg 0.000 0.000 0.500 1
Hg2 Hg 0.291 0.291 0.000 1
Pb1 Pb 0.000 0.500 0.500 1
```

Calculated values
Size of the total moment   0.0 μB/cell
Energy above the most stable polymorph in this dataset   157 meV per atom
Calculated formation energy   203 meV per atom

> size of the total moment of number 1 (Cd2InAs2)?

0.0 μB/cell